# 1
Crystalline YAl6Pd3 at its relaxed geometry, computed with PBE-GGA.

Values from the calculation:
Space group: P2_1/c
Crystal system: monoclinic
VASP energy (eV per atom): -5.097
DFT formation energy (eV per atom): -0.65
D(E_F) (states/eV/cell): 6.1

```
data_YAl6Pd3
_chemical_formula_sum 'Y2 Al12 Pd6'
_symmetry_space_group_name_H-M 'P 1'
_symmetry_Int_Tables_number 1
_cell_length_a 6.720
_cell_length_b 6.919
_cell_length_c 7.915
_cell_angle_alpha 111.39
_cell_angle_beta 90.00
_cell_angle_gamma 90.00
loop_
_symmetry_equiv_pos_as_xyz
'x,y,z'
loop_
_atom_site_label
_atom_site_type_symbol
_atom_site_fract_x
_atom_site_fract_y
_atom_site_fract_z
Pd1 Pd 0.327 0.701 0.905
Pd2 Pd 0.500 0.000 0.500
Pd3 Pd 0.673 0.299 0.095
Pd4 Pd 0.000 0.500 0.000
Pd5 Pd 0.173 0.201 0.405
Pd6 Pd 0.827 0.799 0.595
Al1 Al 0.815 0.112 0.377
Al2 Al 0.527 0.970 0.825
Al3 Al 0.473 0.030 0.175
Al4 Al 0.810 0.204 0.741
Al5 Al 0.027 0.530 0.675
Al6 Al 0.973 0.470 0.325
Al7 Al 0.310 0.296 0.759
Al8 Al 0.190 0.796 0.259
Al9 Al 0.185 0.888 0.623
Al10 Al 0.690 0.704 0.241
Al11 Al 0.685 0.612 0.877
Al12 Al 0.315 0.388 0.123
Y1 Y 0.500 0.500 0.500
Y2 Y 0.000 0.000 0.000
```

# 2
Crystalline Y2Al8Pd at its relaxed geometry, computed with PBE-GGA.

Values from the calculation:
Space group: P4/mmm
Crystal system: tetragonal
VASP energy (eV per atom): -4.861
DFT formation energy (eV per atom): -0.49
D(E_F) (states/eV/cell): 2.1

```
data_Y2Al8Pd
_chemical_formula_sum 'Y2 Al8 Pd1'
_symmetry_space_group_name_H-M 'P 1'
_symmetry_Int_Tables_number 1
_cell_length_a 4.296
_cell_length_b 4.296
_cell_length_c 11.197
_cell_angle_alpha 90.00
_cell_angle_beta 90.00
_cell_angle_gamma 90.00
loop_
_symmetry_equiv_pos_as_xyz
'x,y,z'
loop_
_atom_site_label
_atom_site_type_symbol
_atom_site_fract_x
_atom_site_fract_y
_atom_site_fract_z
Al1 Al 0.000 0.500 0.874
Al2 Al 0.000 0.500 0.500
Al3 Al 0.500 0.500 0.696
Al4 Al 0.500 0.000 0.874
Al5 Al 0.500 0.000 0.500
Al6 Al 0.500 0.500 0.304
Al7 Al 0.000 0.500 0.126
Al8 Al 0.500 0.000 0.126
Y1 Y 0.000 0.000 0.312
Y2 Y 0.000 0.000 0.688
Pd1 Pd 0.000 0.000 0.000
```

# 3
Crystalline YAl2Pd6 at its relaxed geometry, computed with PBE-GGA.

Values from the calculation:
Space group: Fd-3m
Crystal system: cubic
VASP energy (eV per atom): -5.407
DFT formation energy (eV per atom): -0.40
D(E_F) (states/eV/cell): 4.9

```
data_YAl2Pd6
_chemical_formula_sum 'Y2 Al4 Pd12'
_symmetry_space_group_name_H-M 'P 1'
_symmetry_Int_Tables_number 1
_cell_length_a 7.944
_cell_length_b 7.944
_cell_length_c 7.944
_cell_angle_alpha 60.00
_cell_angle_beta 60.00
_cell_angle_gamma 60.00
loop_
_symmetry_equiv_pos_as_xyz
'x,y,z'
loop_
_atom_site_label
_atom_site_type_symbol
_atom_site_fract_x
_atom_site_fract_y
_atom_site_fract_z
Pd1 Pd 0.503 0.997 0.997
Pd2 Pd 0.747 0.253 0.253
Pd3 Pd 0.503 0.503 0.997
Pd4 Pd 0.997 0.503 0.997
Pd5 Pd 0.997 0.503 0.503
Pd6 Pd 0.253 0.747 0.747
Pd7 Pd 0.997 0.997 0.503
Pd8 Pd 0.253 0.747 0.253
Pd9 Pd 0.747 0.253 0.747
Pd10 Pd 0.253 0.253 0.747
Pd11 Pd 0.747 0.747 0.253
Pd12 Pd 0.503 0.997 0.503
Y1 Y 0.500 0.500 0.500
Y2 Y 0.750 0.750 0.750
Al1 Al 0.125 0.125 0.125
Al2 Al 0.125 0.625 0.125
Al3 Al 0.625 0.125 0.125
Al4 Al 0.125 0.125 0.625
```

# 4
Crystalline YAl2Pd5 at its relaxed geometry, computed with PBE-GGA.

Values from the calculation:
Space group: I4/mmm
Crystal system: tetragonal
VASP energy (eV per atom): -5.922
DFT formation energy (eV per atom): -0.93
D(E_F) (states/eV/cell): 3.2

```
data_YAl2Pd5
_chemical_formula_sum 'Y1 Al2 Pd5'
_symmetry_space_group_name_H-M 'P 1'
_symmetry_Int_Tables_number 1
_cell_length_a 8.046
_cell_length_b 8.046
_cell_length_c 8.046
_cell_angle_alpha 150.12
_cell_angle_beta 150.12
_cell_angle_gamma 42.76
loop_
_symmetry_equiv_pos_as_xyz
'x,y,z'
loop_
_atom_site_label
_atom_site_type_symbol
_atom_site_fract_x
_atom_site_fract_y
_atom_site_fract_z
Pd1 Pd 0.500 0.500 0.000
Pd2 Pd 0.145 0.645 0.500
Pd3 Pd 0.855 0.355 0.500
Pd4 Pd 0.645 0.145 0.500
Pd5 Pd 0.355 0.855 0.500
Al1 Al 0.747 0.747 0.000
Al2 Al 0.253 0.253 0.000
Y1 Y 0.000 0.000 0.000
```

# 5
Crystalline Y6AlPd at its relaxed geometry, computed with PBE-GGA.

Values from the calculation:
Space group: I4/mmm
Crystal system: tetragonal
VASP energy (eV per atom): -6.234
DFT formation energy (eV per atom): -0.27
D(E_F) (states/eV/cell): 10.9

```
data_Y6AlPd
_chemical_formula_sum 'Y6 Al1 Pd1'
_symmetry_space_group_name_H-M 'P 1'
_symmetry_Int_Tables_number 1
_cell_length_a 4.985
_cell_length_b 4.985
_cell_length_c 9.659
_cell_angle_alpha 75.05
_cell_angle_beta 75.06
_cell_angle_gamma 90.01
loop_
_symmetry_equiv_pos_as_xyz
'x,y,z'
loop_
_atom_site_label
_atom_site_type_symbol
_atom_site_fract_x
_atom_site_fract_y
_atom_site_fract_z
Pd1 Pd 0.000 0.000 0.000
Al1 Al 0.500 0.500 0.000
Y1 Y 0.253 0.253 0.493
Y2 Y 0.898 0.397 0.205
Y3 Y 0.398 0.897 0.205
Y4 Y 0.102 0.603 0.795
Y5 Y 0.747 0.747 0.507
Y6 Y 0.602 0.103 0.795
```

# 6
Crystalline Y3AlPd3 at its relaxed geometry, computed with PBE-GGA.

Values from the calculation:
Space group: Cmcm
Crystal system: orthorhombic
VASP energy (eV per atom): -6.388
DFT formation energy (eV per atom): -0.86
D(E_F) (states/eV/cell): 9.5

```
data_Y3AlPd3
_chemical_formula_sum 'Y6 Al2 Pd6'
_symmetry_space_group_name_H-M 'P 1'
_symmetry_Int_Tables_number 1
_cell_length_a 4.060
_cell_length_b 5.611
_cell_length_c 14.430
_cell_angle_alpha 90.00
_cell_angle_beta 90.00
_cell_angle_gamma 111.21
loop_
_symmetry_equiv_pos_as_xyz
'x,y,z'
loop_
_atom_site_label
_atom_site_type_symbol
_atom_site_fract_x
_atom_site_fract_y
_atom_site_fract_z
Pd1 Pd 0.076 0.153 0.091
Pd2 Pd 0.233 0.466 0.250
Pd3 Pd 0.924 0.847 0.591
Pd4 Pd 0.076 0.153 0.409
Pd5 Pd 0.767 0.534 0.750
Pd6 Pd 0.924 0.847 0.909
Y1 Y 0.790 0.581 0.104
Y2 Y 0.210 0.419 0.604
Y3 Y 0.487 0.975 0.750
Y4 Y 0.513 0.025 0.250
Y5 Y 0.790 0.581 0.396
Y6 Y 0.210 0.419 0.896
Al1 Al 0.500 0.000 0.500
Al2 Al 0.500 0.000 0.000
```

# 7
Crystalline YAlPd2 at its relaxed geometry, computed with PBE-GGA.

Values from the calculation:
Space group: P4/mmm
Crystal system: tetragonal
VASP energy (eV per atom): -5.951
DFT formation energy (eV per atom): -0.80
D(E_F) (states/eV/cell): 1.5

```
data_YAlPd2
_chemical_formula_sum 'Y1 Al1 Pd2'
_symmetry_space_group_name_H-M 'P 1'
_symmetry_Int_Tables_number 1
_cell_length_a 3.337
_cell_length_b 3.337
_cell_length_c 6.539
_cell_angle_alpha 90.00
_cell_angle_beta 90.00
_cell_angle_gamma 90.00
loop_
_symmetry_equiv_pos_as_xyz
'x,y,z'
loop_
_atom_site_label
_atom_site_type_symbol
_atom_site_fract_x
_atom_site_fract_y
_atom_site_fract_z
Pd1 Pd 0.000 0.000 0.213
Pd2 Pd 0.000 0.000 0.787
Al1 Al 0.500 0.500 0.000
Y1 Y 0.500 0.500 0.500
```

# 8
Crystalline YAlPd at its relaxed geometry, computed with PBE-GGA.

Values from the calculation:
Space group: I4mm
Crystal system: tetragonal
VASP energy (eV per atom): -5.823
DFT formation energy (eV per atom): -0.69
D(E_F) (states/eV/cell): 2.2

```
data_YAlPd
_chemical_formula_sum 'Y1 Al1 Pd1'
_symmetry_space_group_name_H-M 'P 1'
_symmetry_Int_Tables_number 1
_cell_length_a 3.318
_cell_length_b 3.318
_cell_length_c 5.905
_cell_angle_alpha 106.31
_cell_angle_beta 106.31
_cell_angle_gamma 90.00
loop_
_symmetry_equiv_pos_as_xyz
'x,y,z'
loop_
_atom_site_label
_atom_site_type_symbol
_atom_site_fract_x
_atom_site_fract_y
_atom_site_fract_z
Al1 Al 0.697 0.697 0.394
Pd1 Pd 0.307 0.307 0.614
Y1 Y 0.996 0.996 0.992
```